A relaxed structure of AgPt2Au2, computed with GGA-PBE.

Computed properties:
Space group ... I4/mmm
E_tot ... -19.70 eV per cell
Fermi-level density of states ... 7.74 states/eV/cell
V ... 97 Å³ per cell

abc: 3.8791 3.8791 6.9942
angles: 73.90 73.90 90.00
Fractional positions:
Au  0.2500  0.7500  0.5000
Au  0.7500  0.2500  0.5000
Ag  0.0000  0.0000  0.0000
Pt  0.4024  0.4024  0.1952
Pt  0.5976  0.5976  0.8048

A relaxed structure of Ag9Pt2Au, computed with GGA-PBE.

Computed properties:
Space group ... P-1
E_tot ... -40.95 eV per cell
Fermi-level density of states ... 4.29 states/eV/cell
V ... 209 Å³ per cell

abc: 6.5238 5.0286 6.5098
angles: 82.33 96.37 97.42
Fractional positions:
Ag  0.7529  0.2490  0.2534
Ag  0.4129  0.2505  0.9134
Ag  0.3294  0.0060  0.3351
Ag  0.6706  0.9940  0.6649
Ag  0.5871  0.7495  0.0866
Ag  0.1665  0.5051  0.1713
Ag  0.2471  0.7510  0.7466
Ag  0.5000  0.5000  0.5000
Ag  0.8335  0.4949  0.8287
Pt  0.9197  0.7491  0.4173
Pt  0.0803  0.2509  0.5827
Au  0.0000  0.0000  0.0000

A relaxed structure of AgPtAu4, computed with GGA-PBE.

Computed properties:
Space group ... F-43m
E_tot ... -20.56 eV per cell
Fermi-level density of states ... 1.79 states/eV/cell
V ... 114 Å³ per cell

abc: 5.4373 5.4373 5.4373
angles: 60.00 60.00 60.00
Fractional positions:
Au  0.3750  0.3750  0.3750
Au  0.3750  0.8749  0.3750
Au  0.8749  0.3750  0.3750
Au  0.3750  0.3750  0.8749
Pt  0.7500  0.7500  0.7500
Ag  0.0000  0.0000  0.0000

A relaxed structure of AgPt2Au4, computed with GGA-PBE.

Computed properties:
Space group ... Cmce
E_tot ... -53.14 eV per cell
Fermi-level density of states ... 6.08 states/eV/cell
V ... 258 Å³ per cell

abc: 5.3248 9.7197 5.6586
angles: 90.00 118.07 90.00
Fractional positions:
Ag  0.0000  0.0000  0.0000
Ag  0.5000  0.5000  0.0000
Au  0.2073  0.2500  0.9145
Au  0.7169  0.3215  0.4337
Au  0.2831  0.6785  0.5663
Au  0.2927  0.7500  0.0855
Au  0.7831  0.8215  0.5663
Au  0.7927  0.7500  0.0855
Au  0.7073  0.2500  0.9145
Au  0.2169  0.1785  0.4337
Pt  0.3735  0.9502  0.7469
Pt  0.6265  0.0498  0.2531
Pt  0.8735  0.5498  0.7469
Pt  0.1265  0.4502  0.2531

A relaxed structure of Ag2PtAu2, computed with GGA-PBE.

Computed properties:
Space group ... I4/mmm
E_tot ... -16.43 eV per cell
Fermi-level density of states ... 2.94 states/eV/cell
V ... 97 Å³ per cell

abc: 3.7175 3.7175 7.4689
angles: 75.59 75.59 90.00
Fractional positions:
Au  0.5955  0.5955  0.8090
Au  0.4045  0.4045  0.1910
Ag  0.7500  0.2500  0.5000
Ag  0.2500  0.7500  0.5000
Pt  0.0000  0.0000  0.0000

A relaxed structure of Ag6PtAu5, computed with GGA-PBE.

Computed properties:
Space group ... C2/m
E_tot ... -39.83 eV per cell
Fermi-level density of states ... 3.49 states/eV/cell
V ... 212 Å³ per cell

abc: 5.0876 9.7504 6.5243
angles: 41.65 82.74 80.27
Fractional positions:
Au  0.5000  0.1649  0.6701
Au  0.0000  0.6691  0.6619
Au  0.5000  0.5000  0.0000
Au  0.0000  0.3309  0.3381
Au  0.5000  0.8351  0.3299
Ag  0.7500  0.4136  0.6693
Ag  0.2500  0.5864  0.3307
Ag  0.2500  0.9171  0.6693
Ag  0.7544  0.7510  0.0000
Ag  0.2456  0.2490  0.0000
Ag  0.7500  0.0829  0.3307
Pt  0.0000  0.0000  0.0000

A relaxed structure of Ag2Pt2Au, computed with GGA-PBE.

Computed properties:
Space group ... P4/mbm
E_tot ... -39.49 eV per cell
Fermi-level density of states ... 6.01 states/eV/cell
V ... 181 Å³ per cell

abc: 8.0705 8.0705 2.7859
angles: 90.00 90.00 90.00
Fractional positions:
Ag  0.3240  0.1760  0.0000
Ag  0.1760  0.6760  0.0000
Ag  0.6760  0.8240  0.0000
Ag  0.8240  0.3240  0.0000
Pt  0.1205  0.3795  0.5000
Pt  0.3795  0.8795  0.5000
Pt  0.6205  0.1205  0.5000
Pt  0.8795  0.6205  0.5000
Au  0.5000  0.5000  0.0000
Au  0.0000  0.0000  0.0000

A relaxed structure of Ag2Pt3Au8, computed with GGA-PBE.

Computed properties:
Space group ... Cmmm
E_tot ... -47.88 eV per cell
Fermi-level density of states ... 5.38 states/eV/cell
V ... 254 Å³ per cell

abc: 3.5907 8.5585 9.3011
angles: 117.40 90.00 90.00
Fractional positions:
Pt  0.5000  0.0000  0.0000
Pt  0.0000  0.7619  0.0000
Pt  0.0000  0.2381  0.0000
Au  0.5000  0.8834  0.2659
Au  0.5000  0.6175  0.7342
Au  0.0000  0.1319  0.2640
Au  0.5000  0.3825  0.2658
Au  0.0000  0.4007  0.8013
Au  0.0000  0.8681  0.7360
Au  0.0000  0.5993  0.1987
Au  0.5000  0.1166  0.7341
Ag  0.5000  0.2605  0.5210
Ag  0.5000  0.7395  0.4790

A relaxed structure of Ag3Pt2Au8, computed with GGA-PBE.

Computed properties:
Space group ... C2/m
E_tot ... -45.96 eV per cell
Fermi-level density of states ... 3.97 states/eV/cell
V ... 239 Å³ per cell

abc: 5.0125 9.6328 7.1357
angles: 132.45 75.35 90.00
Fractional positions:
Ag  0.0000  0.7514  0.0000
Ag  0.5000  0.0000  0.0000
Ag  0.0000  0.2486  0.0000
Au  0.3222  0.4216  0.3475
Au  0.7900  0.4306  0.8612
Au  0.3222  0.9259  0.3475
Au  0.0592  0.8503  0.7006
Au  0.2100  0.5694  0.1388
Au  0.6778  0.0741  0.6525
Au  0.9408  0.1497  0.2994
Au  0.6778  0.5784  0.6525
Pt  0.3722  0.2917  0.5834
Pt  0.6278  0.7083  0.4166

A relaxed structure of Ag3PtAu2, computed with GGA-PBE.

Computed properties:
Space group ... Immm
E_tot ... -19.70 eV per cell
Fermi-level density of states ... 3.28 states/eV/cell
V ... 115 Å³ per cell

abc: 2.7516 5.2266 8.5557
angles: 107.79 99.25 90.00
Fractional positions:
Au  0.3429  0.3429  0.6858
Au  0.6571  0.6571  0.3142
Ag  0.0000  0.5000  0.0000
Ag  0.8298  0.8298  0.6596
Ag  0.1702  0.1702  0.3404
Pt  0.0000  0.0000  0.0000

A relaxed structure of AgPtAu2, computed with GGA-PBE.

Computed properties:
Space group ... P4/mmm
E_tot ... -15.44 eV per cell
Fermi-level density of states ... 1.43 states/eV/cell
V ... 69 Å³ per cell

abc: 2.8611 2.8611 8.4364
angles: 90.00 90.00 90.00
Fractional positions:
Ag  0.5000  0.5000  0.0000
Au  0.0000  0.0000  0.7450
Au  0.0000  0.0000  0.2550
Pt  0.5000  0.5000  0.5000

A relaxed structure of AgPtAu, computed with GGA-PBE.

Computed properties:
Space group ... Imm2
E_tot ... -12.09 eV per cell
Fermi-level density of states ... 1.35 states/eV/cell
V ... 51 Å³ per cell

abc: 5.0021 5.0021 5.0021
angles: 146.81 131.12 60.36
Fractional positions:
Au  0.3317  0.3317  0.0000
Pt  0.6669  0.6669  0.0000
Ag  0.0014  0.0014  0.0000